{"formula": "Ba3NbAs", "functional": "PBE-GGA", "state": "relaxed", "de_polymorph_kj_per_mol_atoms": 0.0, "sg": "Pm-3m (221)", "formation_enthalpy_0k_ev_per_atom": 0.315, "dos_ef_per_ev_cell": 2.14, "crystal_system": "cubic", "total_magnetization_mub_per_cell": 5.791, "cell": [[6.3145, 0.0000, 0.0000], [0.0000, 6.3145, 0.0000], [0.0000, 0.0000, 6.3145]], "species": ["Ba", "Ba", "Ba", "Nb", "As"], "frac_coords": [[0.0000, 0.0000, 0.5000], [0.0000, 0.5000, 0.0000], [0.5000, 0.0000, 0.0000], [0.5000, 0.5000, 0.5000], [0.0000, 0.0000, 0.0000]]}